First-principles (GGA+U) data for a geometry-optimized MnHgPO2 structure, as listed in the Alexandria database.

Properties
* D(E_F): 4.27 states/eV per cell
* DFT total energy: -20.26 eV/cell

```
MnHgPO2
1.0
4.147 0.000 0.000
0.000 4.147 0.000
0.000 0.000 5.138
Mn Hg P O
1 1 1 2
Cartesian
0.000 0.000 0.000
2.073 2.073 2.569
2.073 2.073 0.000
0.000 2.073 2.569
2.073 0.000 2.569
```